AsPPtI2, optimized geometry, DFT PBE-GGA; size of the total moment = 0.000 μB per atom; uncorrected formation energy = 1.09 eV per atom; space-group type = No. 123; E_tot = -13.77 eV/f.u.
1.0
5.3392 0.0000 0.0000
0.0000 5.3392 0.0000
0.0000 0.0000 4.7376
As P Pt I
1 1 1 2
direct
0.0000 0.0000 0.0000 As
0.0000 0.0000 0.5000 P
0.5000 0.5000 0.0000 Pt
0.0000 0.5000 0.5000 I
0.5000 0.0000 0.5000 I



Ba2LaGaCo, optimized geometry, DFT PBE-GGA; E above lowest polymorph = 318 meV/atom; size of the total moment = 0.067 μB per atom; space-group type = No. 123; E_tot = -15.94 eV/f.u.; energy of formation = 593 meV/atom
1.0
6.5145 0.0000 0.0000
0.0000 6.5145 0.0000
0.0000 0.0000 4.4803
Ba La Ga Co
2 1 1 1
direct
0.0000 0.5000 0.0000 Ba
0.5000 0.0000 0.0000 Ba
0.0000 0.0000 0.0000 La
0.5000 0.5000 0.5000 Ga
0.0000 0.0000 0.5000 Co



Li3Tl3In2, optimized geometry, DFT PBE-GGA; size of the total moment = 0.000 μB per atom; space-group type = No. 189; E_tot = -19.56 eV/f.u.; energy of formation = -155 meV/atom
1.0
8.1352 0.0000 0.0000
-4.0676 7.0453 0.0000
0.0000 0.0000 3.2867
Li Tl In
3 3 2
direct
0.0000 0.6241 0.0000 Li
0.3759 0.3759 0.0000 Li
0.6241 0.0000 0.0000 Li
0.0000 0.2432 0.5000 Tl
0.2432 0.0000 0.5000 Tl
0.7568 0.7568 0.5000 Tl
0.3333 0.6667 0.5000 In
0.6667 0.3333 0.5000 In



TiVNi2Cl, optimized geometry, DFT PBE-GGA; size of the total moment = 0.646 μB per atom; uncorrected formation energy = 1.13 eV per atom; space-group type = No. 123; E_tot = -24.75 eV/f.u.
1.0
4.3335 0.0000 0.0000
0.0000 4.3335 0.0000
0.0000 0.0000 5.1571
Ti V Ni Cl
1 1 2 1
direct
0.0000 0.0000 0.0000 Ti
0.0000 0.0000 0.5000 V
0.0000 0.5000 0.0000 Ni
0.5000 0.0000 0.0000 Ni
0.5000 0.5000 0.5000 Cl



Ba6IrI3Br2, optimized geometry, DFT PBE-GGA; size of the total moment = 0.267 μB per atom; uncorrected formation energy = -1.26 eV per atom; space-group type = No. 12; E_tot = -43.47 eV/f.u.
1.0
4.2831 -7.2901 0.0000
4.2831 7.2901 0.0000
-2.7235 0.0000 8.3227
Ba Ir I Br
6 1 3 2
direct
0.0675 0.3665 0.2080 Ba
0.2208 0.2208 0.7812 Ba
0.3665 0.0675 0.2080 Ba
0.6335 0.9325 0.7920 Ba
0.7792 0.7792 0.2188 Ba
0.9325 0.6335 0.7920 Ba
0.0000 0.0000 0.0000 Ir
0.1800 0.8200 0.5000 I
0.5000 0.5000 0.5000 I
0.8200 0.1800 0.5000 I
0.3381 0.6619 0.0000 Br
0.6619 0.3381 0.0000 Br



MgCu2Te, optimized geometry, DFT PBE-GGA; E above lowest polymorph = 87 meV/atom; size of the total moment = 0.000 μB per atom; uncorrected formation energy = 0.03 eV per atom; space-group type = No. 123; E_tot = -12.79 eV/f.u.
1.0
4.1354 0.0000 0.0000
0.0000 4.1354 0.0000
0.0000 0.0000 4.1321
Mg Cu Te
1 2 1
direct
0.0000 0.0000 0.0000 Mg
0.0000 0.5000 0.5000 Cu
0.5000 0.0000 0.5000 Cu
0.5000 0.5000 0.0000 Te